MnAu2F: optimized geometry, PBE+U.

Values from the calculation:
DFT total energy: -4.43 eV per atom
Crystal system: tetragonal

```
MnAu2F
1.0
-4.6501 -1.2363 -5.6104
-5.0891 -2.4629 4.7607
-5.8126 0.5764 -0.1779
Mn Au F
2 4 2
Direct
0.0000 0.0000 0.0000
0.7500 0.2500 0.5000
0.6093 0.1250 0.2500
0.1407 0.6250 0.2500
0.3750 0.3907 0.7500
0.8750 0.8593 0.7500
0.5000 0.5000 0.0000
0.2500 0.7500 0.5000
```